8
Lattice="3.524 0.000 0.000 1.762 8.641 -0.075 1.762 1.514 8.507" Properties=species:S:1:pos:R:3 comment="Dy5YTh2, optimized geometry, DFT PBE-GGA" crystal_system=orthorhombic n_ef_per_ev_cell=13.8 formation_enthalpy_0k_ev_per_fu=0.758 final_energy_ev_per_atom=-5.44 space_group="Immm (71)" de_polymorph_ev_per_atom=0.000 magmom_total_mub_per_fu=0.00 pbc="T T T"
Y 0.000 0.000 0.000
Th 1.762 2.468 2.049
Dy 3.524 2.082 5.126
Dy 1.762 5.078 4.216
Th 5.287 7.687 6.383
Dy 3.525 8.073 3.307
Dy 3.524 5.422 1.105
Dy 3.525 4.733 7.328

=====

12
Lattice="-1.290 6.402 1.207 1.154 -4.843 7.546 7.182 0.682 -4.526" Properties=species:S:1:pos:R:3 comment="DyY4Th, optimized geometry, DFT PBE-GGA" crystal_system=monoclinic n_ef_per_ev_cell=20.7 formation_enthalpy_0k_ev_per_fu=0.994 final_energy_ev_per_atom=-6.15 space_group="C2/c (15)" de_polymorph_ev_per_atom=0.128 magmom_total_mub_per_fu=0.00 pbc="T T T"
Dy 5.492 2.795 0.179
Y 1.479 2.253 6.259
Y 5.833 -0.979 1.203
Y 4.265 1.781 3.516
Y 2.061 3.868 -0.223
Th -0.315 1.602 0.301
Th 7.361 0.639 3.925
Y 2.781 0.460 0.711
Y 4.985 -1.627 4.449
Dy 1.554 -0.554 4.047
Y 5.567 -0.012 -2.032
Y 1.212 3.220 3.024

=====

15
Lattice="9.495 0.000 4.288 4.748 6.891 2.144 1.912 0.000 8.425" Properties=species:S:1:pos:R:3 comment="Dy10Y4Th, optimized geometry, DFT PBE-GGA" crystal_system=tetragonal n_ef_per_ev_cell=24.7 formation_enthalpy_0k_ev_per_fu=5.797 final_energy_ev_per_atom=-4.90 space_group="I4/m (87)" magmom_total_mub_per_fu=0.95 pbc="T T T"
Dy 10.796 6.211 9.983
Dy 2.296 0.680 3.490
Y 8.358 1.822 6.807
Dy 5.408 2.236 9.257
Th 0.000 0.000 0.000
Dy 7.684 4.655 4.216
Dy 10.747 4.655 5.599
Dy 5.359 0.680 4.873
Dy 13.859 6.211 11.366
Dy 8.471 2.236 10.640
Dy 10.451 3.446 8.500
Y 12.157 2.765 11.051
Dy 5.704 3.446 6.356
Y 3.998 4.127 3.804
Y 7.797 5.069 8.049

=====

9
Lattice="4.766 0.000 1.614 2.383 7.563 0.807 -0.043 0.000 7.971" Properties=species:S:1:pos:R:3 comment="Dy4YTh4, optimized geometry, DFT PBE-GGA" crystal_system=tetragonal n_ef_per_ev_cell=12.0 formation_enthalpy_0k_ev_per_fu=0.342 final_energy_ev_per_atom=-6.02 space_group="I4/mmm (139)" magmom_total_mub_per_fu=0.00 pbc="T T T"
Dy 2.341 2.551 8.778
Th 1.569 5.026 3.210
Th 5.538 2.537 7.182
Y 0.000 0.000 0.000
Th 3.953 2.537 4.018
Dy 4.766 5.013 1.614
Th 3.154 5.026 6.374
Dy 1.565 0.000 3.223
Dy 5.542 7.563 7.169

=====

3
Lattice="-2.405 -2.232 -1.429 1.542 -0.796 3.130 -6.357 4.166 4.192" Properties=species:S:1:pos:R:3 comment="DyYTh, optimized geometry, DFT PBE-GGA" crystal_system=trigonal n_ef_per_ev_cell=4.9 formation_enthalpy_0k_ev_per_fu=0.064 final_energy_ev_per_atom=-6.14 space_group="P3m1 (156)" de_polymorph_ev_per_atom=0.000 magmom_total_mub_per_fu=0.00 pbc="T T T"
Y -6.319 4.141 4.167
Th -4.005 1.498 4.401
Dy -3.253 -0.335 1.518

=====

12
Lattice="-0.927 0.061 -6.454 7.925 4.864 -1.093 -2.402 -9.045 0.260" Properties=species:S:1:pos:R:3 comment="DyY3Th2, optimized geometry, DFT PBE-GGA" crystal_system=orthorhombic n_ef_per_ev_cell=15.8 formation_enthalpy_0k_ev_per_fu=1.075 final_energy_ev_per_atom=-6.29 space_group="Cmcm (63)" de_polymorph_ev_per_atom=0.150 magmom_total_mub_per_fu=0.00 pbc="T T T"
Y 2.979 1.437 -2.061
Th 0.919 -1.016 -3.435
Y -1.147 -3.465 -4.809
Th 4.140 -3.135 -0.624
Th 1.383 -1.047 -0.208
Dy 3.577 -0.011 -5.455
Y 1.617 -5.557 -5.225
Y 6.178 2.838 -2.508
Th 3.677 -3.104 -3.851
Y 5.742 -0.656 -2.478
Dy 1.019 -4.110 -1.832
Y -1.582 -6.959 -4.779